Entry 1:
DFT (PBE) results for crystalline CuTe2MoCl at its relaxed geometry.

Lattice parameters (Å, degrees): 5.641 4.188 5.641 90.00 90.00 90.00
Each line ends with the local moment (μB).
Atoms (fractional coordinates):
1 Cl 0.000 0.000 0.000  0.00
2 Cu 0.000 0.500 0.000  0.01
3 Te 0.000 0.000 0.500  -0.14
4 Te 0.500 0.000 0.000  -0.12
5 Mo 0.500 0.500 0.500  3.44

Calculated values
- formation energy (no corrections) (eV/f.u.) = 5.37
- symmetry = P4/mmm, No. 123



Entry 2:
DFT (PBE) results for crystalline USnIr4 at its relaxed geometry.

Lattice parameters (Å, degrees): 5.313 5.313 5.313 60.00 60.00 60.00
Each line ends with the local moment (μB).
Atoms (fractional coordinates):
1 Ir 0.626 0.122 0.626  -0.07
2 Ir 0.626 0.626 0.122  -0.07
3 Ir 0.626 0.626 0.626  -0.07
4 Ir 0.122 0.626 0.626  -0.07
5 Sn 0.000 0.000 0.000  0.02
6 U 0.250 0.250 0.250  1.21

Calculated values
- symmetry = F-43m, No. 216



We obtain VASP energy values of -17.7, -52.7 eV per formula unit for the records listed above, in that order.